1.
# YP2OsO, relaxed, DFT PBE
data_YP2OsO
_cell_length_a 4.8894
_cell_length_b 4.8894
_cell_length_c 3.7121
_cell_angle_alpha 90.00
_cell_angle_beta 90.00
_cell_angle_gamma 90.00
_symmetry_space_group_name_H-M 'P 4/m m m'
_symmetry_Int_Tables_number 123
_symmetry_space_group_name_Hall '-P 4 2'
loop_
_atom_site_label
_atom_site_fract_x
_atom_site_fract_y
_atom_site_fract_z
_atom_site_occupancy
Y1 0.0000 0.0000 0.0000 1
P1 0.0000 0.5000 0.5000 1
Os1 0.5000 0.5000 0.5000 1
O1 0.5000 0.5000 0.0000 1
# Total magnetization: 0.00 μB per formula unit
# Relative energy among the computed polymorphs: 0 meV/atom
# Crystal system: tetragonal
# DOS at the Fermi energy: 5.4 states/eV per cell

---

2.
# Pm6P2PtSe3, relaxed, DFT PBE
data_Pm6P2PtSe3
_cell_length_a 18.3203
_cell_length_b 4.1396
_cell_length_c 8.4377
_cell_angle_alpha 90.00
_cell_angle_beta 103.64
_cell_angle_gamma 90.00
_symmetry_space_group_name_H-M 'C 1 2/m 1'
_symmetry_Int_Tables_number 12
_symmetry_space_group_name_Hall '-C 2y'
loop_
_atom_site_label
_atom_site_fract_x
_atom_site_fract_y
_atom_site_fract_z
_atom_site_occupancy
Pm1 0.0046 0.0000 0.2431 1
Pm2 0.1666 0.5000 0.0965 1
Pm3 0.1711 0.5000 0.5734 1
P1 0.1673 0.0000 0.3351 1
Pt1 0.0000 0.5000 0.0000 1
Se1 0.0000 0.5000 0.5000 1
Se2 0.1672 0.0000 0.8325 1
# Total DFT energy (no corrections): -6.316 eV per atom
# Total magnetization: 0.00 μB per formula unit
# Crystal system: monoclinic
# DOS at the Fermi energy: 12.8 states/eV per cell

---

3.
# DyBeSn, relaxed, DFT PBE
data_DyBeSn
_cell_length_a 4.3151
_cell_length_b 4.3151
_cell_length_c 6.7121
_cell_angle_alpha 90.00
_cell_angle_beta 90.00
_cell_angle_gamma 90.00
_symmetry_space_group_name_H-M 'P 4/n m m'
_symmetry_Int_Tables_number 129
loop_
_symmetry_equiv_pos_as_xyz
'x,y,z'
'-x,-y,-z'
'-y+1/2,x,z'
'y+1/2,-x,-z'
'-x+1/2,-y+1/2,z'
'x+1/2,y+1/2,-z'
'y,-x+1/2,z'
'-y,x+1/2,-z'
'x+1/2,-y,-z'
'-x+1/2,y,z'
'-y,-x,-z'
'y,x,z'
'-x,y+1/2,-z'
'x,-y+1/2,z'
'y+1/2,x+1/2,-z'
'-y+1/2,-x+1/2,z'
loop_
_atom_site_label
_atom_site_fract_x
_atom_site_fract_y
_atom_site_fract_z
_atom_site_occupancy
Dy1 0.2500 0.2500 0.1908 1
Be1 0.2500 0.7500 0.5000 1
Sn1 0.2500 0.2500 0.7226 1
# Total DFT energy (no corrections): -4.424 eV per atom
# Total magnetization: 0.00 μB per formula unit
# Crystal system: tetragonal
# DOS at the Fermi energy: 2.9 states/eV per cell

---

4.
# TiSiBr3, relaxed, DFT PBE
data_TiSiBr3
_cell_length_a 5.2660
_cell_length_b 5.2660
_cell_length_c 5.2660
_cell_angle_alpha 90.00
_cell_angle_beta 90.00
_cell_angle_gamma 90.00
_symmetry_space_group_name_H-M 'P m -3 m'
_symmetry_Int_Tables_number 221
_symmetry_space_group_name_Hall '-P 4 2 3'
loop_
_atom_site_label
_atom_site_fract_x
_atom_site_fract_y
_atom_site_fract_z
_atom_site_occupancy
Ti1 0.0000 0.0000 0.0000 1
Si1 0.5000 0.5000 0.5000 1
Br1 0.0000 0.5000 0.5000 1
# Total magnetization: 2.96 μB per formula unit
# Relative energy among the computed polymorphs: 265 meV/atom
# Crystal system: cubic
# DOS at the Fermi energy: 6.6 states/eV per cell

---

5.
# ZnSbTe2S, relaxed, DFT PBE
data_ZnSbTe2S
_cell_length_a 5.2799
_cell_length_b 5.2799
_cell_length_c 5.2636
_cell_angle_alpha 90.00
_cell_angle_beta 90.00
_cell_angle_gamma 90.00
_symmetry_space_group_name_H-M 'P 4/m m m'
_symmetry_Int_Tables_number 123
_symmetry_space_group_name_Hall '-P 4 2'
loop_
_atom_site_label
_atom_site_fract_x
_atom_site_fract_y
_atom_site_fract_z
_atom_site_occupancy
Zn1 0.0000 0.0000 0.0000 1
Sb1 0.5000 0.5000 0.0000 1
Te1 0.0000 0.5000 0.5000 1
S1 0.5000 0.5000 0.5000 1
# Total magnetization: 0.00 μB per formula unit
# Relative energy among the computed polymorphs: 0 meV/atom
# Crystal system: tetragonal
# DOS at the Fermi energy: 5.1 states/eV per cell

---

6.
# YThAl2Hg4, relaxed, DFT PBE
data_YThAl2Hg4
_cell_length_a 4.3827
_cell_length_b 4.3827
_cell_length_c 10.4316
_cell_angle_alpha 90.00
_cell_angle_beta 90.00
_cell_angle_gamma 90.00
_symmetry_space_group_name_H-M 'P 4/m m m'
_symmetry_Int_Tables_number 123
_symmetry_space_group_name_Hall '-P 4 2'
loop_
_atom_site_label
_atom_site_fract_x
_atom_site_fract_y
_atom_site_fract_z
_atom_site_occupancy
Y1 0.0000 0.0000 0.0000 1
Th1 0.0000 0.0000 0.5000 1
Al1 0.5000 0.5000 0.3802 1
Hg1 0.0000 0.5000 0.2162 1
# Total DFT energy (no corrections): -2.999 eV per atom
# Total magnetization: 0.00 μB per formula unit
# Crystal system: tetragonal
# DOS at the Fermi energy: 5.9 states/eV per cell

---

7.
# LaCoRe3, relaxed, DFT PBE
data_LaCoRe3
_cell_length_a 4.7660
_cell_length_b 4.7660
_cell_length_c 4.7660
_cell_angle_alpha 90.00
_cell_angle_beta 90.00
_cell_angle_gamma 90.00
_symmetry_space_group_name_H-M 'P m -3 m'
_symmetry_Int_Tables_number 221
_symmetry_space_group_name_Hall '-P 4 2 3'
loop_
_atom_site_label
_atom_site_fract_x
_atom_site_fract_y
_atom_site_fract_z
_atom_site_occupancy
La1 0.0000 0.0000 0.0000 1
Co1 0.5000 0.5000 0.5000 1
Re1 0.0000 0.0000 0.5000 1
# Total magnetization: 1.85 μB per formula unit
# Relative energy among the computed polymorphs: 2141 meV/atom
# Crystal system: cubic
# DOS at the Fermi energy: 11.3 states/eV per cell

---

8.
# Te2AuSN, relaxed, DFT PBE
data_Te2AuSN
_cell_length_a 5.8690
_cell_length_b 5.8690
_cell_length_c 3.2161
_cell_angle_alpha 90.00
_cell_angle_beta 90.00
_cell_angle_gamma 90.00
_symmetry_space_group_name_H-M 'P 4/m m m'
_symmetry_Int_Tables_number 123
_symmetry_space_group_name_Hall '-P 4 2'
loop_
_atom_site_label
_atom_site_fract_x
_atom_site_fract_y
_atom_site_fract_z
_atom_site_occupancy
Te1 0.0000 0.5000 0.0000 1
Au1 0.0000 0.0000 0.5000 1
S1 0.5000 0.5000 0.0000 1
N1 0.5000 0.5000 0.5000 1
# Total magnetization: 0.00 μB per formula unit
# Relative energy among the computed polymorphs: 0 meV/atom
# Crystal system: tetragonal
# DOS at the Fermi energy: 4.7 states/eV per cell